Here is Fe2MoIr after structural relaxation from Alexandria. Energies are from GGA-PBE.

formation energy	0.53	eV/atom
total magnetization	0.93	μB/atom

a b c (Å): 9.045 9.045 9.045
angles (deg): 156.54 156.54 33.42
Fractional positions:
Fe: 0.120 0.625 0.995
Fe: 0.375 0.370 0.495
Fe: 0.630 0.125 0.005
Fe: 0.875 0.880 0.505
Mo: 0.250 0.750 0.500
Mo: 0.500 0.500 0.000
Ir: 0.000 0.000 0.000
Ir: 0.750 0.250 0.500


Here is BaMgInAu3 after structural relaxation from Alexandria. Energies are from GGA-PBE.

formation energy	-0.42	eV/atom
total magnetization	0.00	μB/atom

a b c (Å): 7.511 7.511 7.150
angles (deg): 90.00 90.00 125.94
Fractional positions:
Ba: 0.201 0.799 0.750
Ba: 0.799 0.201 0.250
Mg: 0.475 0.525 0.750
Mg: 0.525 0.475 0.250
In: 0.121 0.879 0.250
In: 0.879 0.121 0.750
Au: 0.215 0.215 0.000
Au: 0.215 0.215 0.500
Au: 0.324 0.676 0.250
Au: 0.676 0.324 0.750
Au: 0.785 0.785 0.000
Au: 0.785 0.785 0.500


Here is Y2Ti2Re after structural relaxation from Alexandria. Energies are from GGA-PBE.

formation energy	0.11	eV/atom
total magnetization	0.00	μB/atom

a b c (Å): 6.541 6.541 5.159
angles (deg): 90.00 90.00 90.00
Fractional positions:
Y: 0.177 0.323 0.000
Y: 0.323 0.823 0.000
Y: 0.677 0.177 0.000
Y: 0.823 0.677 0.000
Ti: 0.148 0.648 0.500
Ti: 0.352 0.148 0.500
Ti: 0.648 0.852 0.500
Ti: 0.852 0.352 0.500
Re: 0.000 0.000 0.500
Re: 0.500 0.500 0.500


Here is PrEr3Co8 after structural relaxation from Alexandria. Energies are from GGA-PBE.

formation energy	-0.17	eV/atom
total magnetization	0.63	μB/atom

a b c (Å): 8.815 8.815 8.815
angles (deg): 33.46 33.46 33.46
Fractional positions:
Pr: 0.000 0.000 0.000
Er: 0.125 0.125 0.125
Er: 0.500 0.500 0.500
Er: 0.625 0.625 0.625
Co: 0.063 0.063 0.556
Co: 0.063 0.556 0.063
Co: 0.067 0.563 0.563
Co: 0.312 0.312 0.312
Co: 0.556 0.063 0.063
Co: 0.563 0.067 0.563
Co: 0.563 0.563 0.067
Co: 0.813 0.813 0.813